VASP calculation (GGA-PBE) on crystalline Nd5Ho2Tm12 at its relaxed geometry.

Computed properties:
The calculation puts the calculated density at 8.57 Mg/m³. As for the space-group type: P-1, No. 2. The calculation puts the total energy at -4.536 eV per atom. The distance to the lowest polymorph of the same formula comes out at 0.000 eV/atom. For the total magnetic moment, the calculation gives 0.00 μB/f.u.

a = 6.133 Å, b = 9.382 Å, c = 10.620 Å
α = 101.04°, β = 95.63°, γ = 90.01°
Fractional positions:
Nd1 0.000 0.000 0.000
Nd2 0.159 0.632 0.946
Nd3 0.263 0.053 0.579
Nd4 0.737 0.947 0.421
Nd5 0.841 0.368 0.054
Ho1 0.420 0.682 0.526
Ho2 0.580 0.318 0.474
Tm1 0.054 0.213 0.317
Tm2 0.104 0.422 0.631
Tm3 0.211 0.840 0.263
Tm4 0.317 0.263 0.895
Tm5 0.369 0.473 0.212
Tm6 0.475 0.894 0.842
Tm7 0.525 0.106 0.158
Tm8 0.631 0.527 0.788
Tm9 0.683 0.737 0.105
Tm10 0.789 0.160 0.737
Tm11 0.896 0.578 0.369
Tm12 0.946 0.787 0.683

---

VASP calculation (GGA-PBE) on crystalline NdHo3Tm7 at its relaxed geometry.

Computed properties:
The calculation puts the calculated density at 8.69 Mg/m³. As for the space-group type: P2/m, No. 10. The calculation puts the total energy at -4.368 eV per atom. The distance to the lowest polymorph of the same formula comes out at 0.000 eV/atom. For the total magnetic moment, the calculation gives 0.00 μB/f.u.

a = 6.865 Å, b = 5.465 Å, c = 9.817 Å
α = 90.00°, β = 109.16°, γ = 90.00°
Fractional positions:
Nd1 0.000 0.000 0.000
Ho1 0.276 0.500 0.494
Ho2 0.500 0.000 0.000
Ho3 0.724 0.500 0.506
Tm1 0.000 0.000 0.500
Tm2 0.152 0.500 0.790
Tm3 0.323 0.500 0.143
Tm4 0.430 0.000 0.332
Tm5 0.570 0.000 0.668
Tm6 0.677 0.500 0.857
Tm7 0.848 0.500 0.210

---

VASP calculation (GGA-PBE) on crystalline Nd7Ho2Tm3 at its relaxed geometry.

Computed properties:
The calculation puts the calculated density at 7.65 Mg/m³. As for the space-group type: Cmmm, No. 65. The calculation puts the total energy at -4.542 eV per atom. The distance to the lowest polymorph of the same formula comes out at 0.000 eV/atom. For the total magnetic moment, the calculation gives 0.00 μB/f.u.

a = 19.299 Å, b = 19.299 Å, c = 3.629 Å
α = 90.00°, β = 90.00°, γ = 162.74°
Fractional positions:
Nd1 0.000 0.000 0.000
Nd2 0.073 0.927 0.500
Nd3 0.233 0.767 0.000
Nd4 0.407 0.593 0.000
Nd5 0.593 0.407 0.000
Nd6 0.767 0.233 0.000
Nd7 0.927 0.073 0.500
Ho1 0.149 0.851 0.000
Ho2 0.851 0.149 0.000
Tm1 0.315 0.685 0.500
Tm2 0.500 0.500 0.500
Tm3 0.685 0.315 0.500

---

VASP calculation (GGA-PBE) on crystalline Nd2Ho12Tm at its relaxed geometry.

Computed properties:
The calculation puts the calculated density at 8.44 Mg/m³. As for the space-group type: C2/m, No. 12. The calculation puts the total energy at -4.479 eV per atom. For the total magnetic moment, the calculation gives 0.00 μB/f.u.

a = 6.609 Å, b = 6.609 Å, c = 24.337 Å
α = 92.21°, β = 92.21°, γ = 115.32°
Fractional positions:
Nd1 0.067 0.067 0.272
Nd2 0.432 0.432 0.729
Nd3 0.568 0.568 0.271
Nd4 0.933 0.933 0.728
Ho1 0.049 0.550 0.200
Ho2 0.082 0.582 0.331
Ho3 0.138 0.639 0.555
Ho4 0.143 0.143 0.572
Ho5 0.217 0.217 0.866
Ho6 0.232 0.732 0.927
Ho7 0.268 0.768 0.073
Ho8 0.284 0.284 0.135
Ho9 0.357 0.357 0.428
Ho10 0.361 0.862 0.445
Ho11 0.418 0.918 0.669
Ho12 0.450 0.951 0.800
Ho13 0.550 0.049 0.200
Ho14 0.582 0.082 0.331
Ho15 0.639 0.138 0.555
Ho16 0.643 0.643 0.572
Ho17 0.716 0.716 0.865
Ho18 0.732 0.232 0.927
Ho19 0.768 0.268 0.073
Ho20 0.783 0.783 0.134
Ho21 0.857 0.857 0.428
Ho22 0.862 0.361 0.445
Ho23 0.918 0.418 0.669
Ho24 0.951 0.450 0.800
Tm1 0.250 0.250 0.000
Tm2 0.750 0.750 0.000

---

VASP calculation (GGA-PBE) on crystalline NdHo2Tm at its relaxed geometry.

Computed properties:
The calculation puts the calculated density at 8.42 Mg/m³. As for the space-group type: P4/mmm, No. 123. The calculation puts the total energy at -4.574 eV per atom. The distance to the lowest polymorph of the same formula comes out at 0.011 eV/atom. For the total magnetic moment, the calculation gives 0.00 μB/f.u.

a = 5.019 Å, b = 5.019 Å, c = 5.037 Å
α = 90.00°, β = 90.00°, γ = 90.00°
Fractional positions:
Nd1 0.000 0.000 0.000
Ho1 0.000 0.500 0.500
Ho2 0.500 0.000 0.500
Tm1 0.500 0.500 0.000

---

VASP calculation (GGA-PBE) on crystalline Nd2Ho3Tm2 at its relaxed geometry.

Computed properties:
The calculation puts the calculated density at 8.37 Mg/m³. As for the space-group type: P-1, No. 2. The calculation puts the total energy at -4.580 eV per atom. The distance to the lowest polymorph of the same formula comes out at 0.000 eV/atom. For the total magnetic moment, the calculation gives 0.00 μB/f.u.

a = 3.563 Å, b = 6.138 Å, c = 10.679 Å
α = 84.64°, β = 89.98°, γ = 73.16°
Fractional positions:
Nd1 0.215 0.070 0.354
Nd2 0.785 0.930 0.646
Ho1 0.357 0.784 0.931
Ho2 0.500 0.500 0.500
Ho3 0.643 0.216 0.069
Tm1 0.070 0.359 0.789
Tm2 0.930 0.641 0.211

---

Ordered formation enthalpy at 0 K results: 0.468 1.752 1.437 1.755 0.097 0.152; unit eV per formula unit.
Ordered calculated volume results: 31.41 31.63 33.41 31.95 31.72 31.78; unit A^3/atom.